Entry 1:
CsHfTa | PBE-GGA | optimized geometry

Values from the calculation:
**ρ**: 9.1 Mg/m³
**E_tot**: -5.405 eV/atom

Cell: 5.028 5.028 5.028 Å, 60.00 60.00 60.00°
Element x y z (fractional)
Cs 0.250 0.250 0.250
Hf 0.750 0.750 0.750
Ta 0.000 0.000 0.000

Entry 2:
CsHfTa | PBE-GGA | optimized geometry

Values from the calculation:
**ρ**: 10.3 Mg/m³
**E_tot**: -4.860 eV/atom

Cell: 4.817 4.817 4.817 Å, 60.00 60.00 60.00°
Element x y z (fractional)
Cs 0.000 0.000 0.000
Ta 0.750 0.750 0.750
Hf 0.250 0.250 0.250

Entry 3:
CsHfTc | PBE-GGA | optimized geometry

Values from the calculation:
**ρ**: 8.5 Mg/m³
**E_tot**: -5.168 eV/atom

Cell: 4.832 4.832 4.832 Å, 60.00 60.00 60.00°
Element x y z (fractional)
Hf 0.000 0.000 0.000
Cs 0.250 0.250 0.250
Tc 0.750 0.750 0.750